(1)
5
Lattice="4.4301 0.0000 0.0000 0.0000 4.5664 0.0000 0.0000 0.0000 4.5664" Properties=species:S:1:pos:R:3 comment="LiAlTcMo2, PBEsol geometry, DFT meta-GGA SCAN" ef_mev_per_atom=1285 volume_a3_per_atom=18.475 energy_ev_per_atom=-21.7092 pbc="T T T"
Mo 0.0000 0.0000 2.2832
Mo 0.0000 2.2832 0.0000
Li 2.2150 0.0000 0.0000
Tc 0.0000 0.0000 0.0000
Al 2.2150 2.2832 2.2832

=====

(2)
48
Lattice="-5.8565 5.2589 2.1657 -3.3454 -7.2504 -1.6982 5.3193 -0.8279 6.1371" Properties=species:S:1:pos:R:3 comment="Li3AlN2, PBEsol geometry, DFT meta-GGA SCAN" raw_formation_energy_ev_per_atom=-1.043 volume_a3_per_atom=8.725 energy_ev_per_atom=-6.6271 pbc="T T T"
Al -4.2819 3.8450 1.5834
Al -5.6448 -1.7538 2.0095
Al -0.4432 -3.8166 0.5694
Al -2.7145 -3.0855 2.9098
Al -1.5746 1.4139 0.5823
Al 1.7623 -1.0656 4.5951
Al 2.4171 -4.2617 3.8695
Al -1.1680 0.2661 3.6948
Li 1.1114 -0.3661 1.6174
Li -5.1645 -2.8716 -0.1517
Li -0.2599 -2.5551 2.6969
Li -2.9149 -4.2770 0.7439
Li -2.8018 -1.9599 5.1630
Li -2.1409 -5.3418 3.7651
Li -0.8604 -0.6450 6.6925
Li 0.0119 -5.7705 2.0275
Li -1.4293 2.7702 7.6463
Li -3.8283 1.6508 2.7374
Li -1.6981 3.3738 4.9259
Li -3.3205 -0.9243 1.7636
Li -4.9939 -2.4533 4.9872
Li 1.2819 0.0522 6.7563
Li -3.6226 -0.2643 3.9077
Li -0.9676 1.4576 5.8608
Li -1.0807 -0.8596 1.4416
Li -1.7416 2.5223 2.8395
Li -3.0222 -2.1744 -0.0879
Li -3.8944 2.9511 4.5771
Li -2.4533 -5.5896 -1.0417
Li -0.0542 -4.4702 3.8672
Li -2.1844 -6.1932 1.6788
Li -0.5621 -1.8951 4.8410
N -2.9282 2.6294 1.0829
N 2.6597 -0.4139 3.0685
N -1.6727 -3.6252 -0.8491
N -1.9413 -1.4097 3.3023
N -3.4505 -3.8627 4.5138
N -5.0330 0.0475 2.3246
N -5.3456 3.0959 3.0068
N -4.1248 -2.8720 1.6122
N -6.8375 -1.7551 0.4943
N -1.3774 -4.2756 2.1927
N -0.4321 1.0433 2.0908
N 1.1504 -2.8669 4.2800
N 1.4630 -5.9153 3.5979
N 0.2423 0.0526 4.9925
N 2.9550 -1.0643 6.1103
N -2.5052 1.4562 4.4119

=====

(3)
4
Lattice="3.5423 0.0000 0.0000 1.7711 3.0677 0.0000 1.7711 1.0226 2.8922" Properties=species:S:1:pos:R:3 comment="LiAlN2, PBEsol geometry, DFT meta-GGA SCAN" raw_formation_energy_ev_per_atom=0.080 volume_a3_per_atom=7.857 energy_ev_per_atom=-7.1012 pbc="T T T"
N 1.7711 1.0226 0.7231
N 5.3134 3.0677 2.1692
Al 0.0000 0.0000 0.0000
Li 3.5423 2.0451 1.4461

=====

(4)
5
Lattice="-2.3895 1.2007 3.3259 0.2074 -3.9596 1.5785 3.5299 1.0454 2.1587" Properties=species:S:1:pos:R:3 comment="LiAl3N, PBEsol geometry, DFT meta-GGA SCAN" raw_formation_energy_ev_per_atom=1.365 volume_a3_per_atom=15.546 energy_ev_per_atom=-5.6220 pbc="T T T"
N 0.6739 -0.8567 3.5316
Al 0.1037 -1.9798 0.7892
Al 1.7650 0.5227 1.0793
Al -1.1948 0.6004 1.6630
Li 0.0000 0.0000 0.0000

=====

Repeat the first record exactly.
5
Lattice="4.4301 0.0000 0.0000 0.0000 4.5664 0.0000 0.0000 0.0000 4.5664" Properties=species:S:1:pos:R:3 comment="LiAlTcMo2, PBEsol geometry, DFT meta-GGA SCAN" ef_mev_per_atom=1285 volume_a3_per_atom=18.475 energy_ev_per_atom=-21.7092 pbc="T T T"
Mo 0.0000 0.0000 2.2832
Mo 0.0000 2.2832 0.0000
Li 2.2150 0.0000 0.0000
Tc 0.0000 0.0000 0.0000
Al 2.2150 2.2832 2.2832

=====

Repeat the fourth record exactly.
5
Lattice="-2.3895 1.2007 3.3259 0.2074 -3.9596 1.5785 3.5299 1.0454 2.1587" Properties=species:S:1:pos:R:3 comment="LiAl3N, PBEsol geometry, DFT meta-GGA SCAN" raw_formation_energy_ev_per_atom=1.365 volume_a3_per_atom=15.546 energy_ev_per_atom=-5.6220 pbc="T T T"
N 0.6739 -0.8567 3.5316
Al 0.1037 -1.9798 0.7892
Al 1.7650 0.5227 1.0793
Al -1.1948 0.6004 1.6630
Li 0.0000 0.0000 0.0000